First-principles (GGA-PBE) data for crystalline La2PmDyP4 at its relaxed geometry, as listed in Alexandria.

Cell and atoms, written as POSCAR:
```
La2PmDyP4
1.0
4.175 0.000 0.000
0.000 7.227 -0.145
0.000 2.541 6.763
La Pm Dy P
2 1 1 4
Direct
0.000 0.000 0.000
0.500 0.000 0.500
0.500 0.500 0.000
0.000 0.500 0.500
0.000 0.741 0.750
0.000 0.259 0.250
0.500 0.739 0.257
0.500 0.261 0.743
```

**SG**: P2/m
**Raw total energy**: -53.4 eV per formula unit

First-principles (GGA-PBE) data for crystalline La3Pm2DyP6 at its relaxed geometry, as listed in Alexandria.

Cell and atoms, written as POSCAR:
```
La3Pm2DyP6
1.0
7.245 -0.001 0.001
-3.622 6.275 0.001
-1.208 -2.092 6.835
La Pm Dy P
3 2 1 6
Direct
0.167 0.833 0.500
0.833 0.167 0.500
0.500 0.500 0.500
0.334 0.666 0.000
0.666 0.334 0.000
0.000 0.000 0.000
0.920 0.590 0.759
0.751 0.751 0.242
0.080 0.410 0.241
0.590 0.920 0.759
0.249 0.249 0.758
0.410 0.080 0.241
```

**SG**: C2/m
**Raw total energy**: -80.2 eV per formula unit

First-principles (GGA-PBE) data for crystalline La2PrDyP4 at its relaxed geometry, as listed in Alexandria.

Cell and atoms, written as POSCAR:
```
La2PrDyP4
1.0
4.194 0.000 0.000
0.000 7.259 -0.146
0.000 2.552 6.794
La Pr Dy P
2 1 1 4
Direct
0.000 0.000 0.000
0.500 0.000 0.500
0.500 0.500 0.000
0.000 0.500 0.500
0.000 0.744 0.747
0.000 0.256 0.253
0.500 0.740 0.258
0.500 0.260 0.742
```

**SG**: P2/m
**Raw total energy**: -53.3 eV per formula unit

First-principles (GGA-PBE) data for crystalline LaDyPu2P4 at its relaxed geometry, as listed in Alexandria.

Cell and atoms, written as POSCAR:
```
LaDyPu2P4
1.0
-1.824 3.544 0.834
-3.950 -0.675 -5.772
-5.940 -3.430 1.590
La Dy Pu P
1 1 2 4
Direct
0.500 0.500 0.000
0.000 0.500 0.500
0.000 0.000 0.000
0.500 0.000 0.500
0.000 0.765 0.736
0.000 0.235 0.264
0.500 0.759 0.253
0.500 0.241 0.747
```

**SG**: P2/m
**Raw total energy**: -70.4 eV per formula unit